# NbRe3Ag

A crystal of NbRe3Ag relaxed with PBEsol (meta-GGA SCAN, the Alexandria database).

Summary:
Density of states at the Fermi level, states/eV/f.u.: 4.04
DFT total energy, hartree per atom: -1.9481

The structure in extended XYZ format:
```
5
Lattice="-3.298 1.119 3.147 -3.254 -2.076 -2.671 0.755 -4.058 2.234" Properties=species:S:1:pos:R:3 pbc="T T T"
Re -1.627 -1.038 -1.336
Ag -2.898 -2.508 1.355
Re 0.378 -2.029 1.117
Nb 0.000 0.000 0.000
Re -1.649 0.559 1.574
```